[1]
First-principles (GGA-PBE) data for a relaxed Y3Si crystal, as listed in the Alexandria database.

* energy above the lowest structure with this stoichiometry: 0.324 eV/atom
* total DFT energy (no corrections): -25.27 eV/f.u.
* density of states at the Fermi level: 0.9182 states/eV per atom

Unit cell a=3.5123 b=5.0370 c=5.9621 alpha=90.00 beta=90.00 gamma=90.00
Closest atoms and distances in Å follow each position.
Space group Pmm2 (No. 25)
Inequivalent atoms, fractional coordinates:
Y1 0.0000 0.0000 0.0000 (multiplicity 1)  8 Y 3.23-3.51, 2 Si 3.30
Y2 0.0000 0.5000 0.3783 (multiplicity 1)  4 Si 3.20, 6 Y 3.21-3.51
Y3 0.5000 0.5000 0.8292 (multiplicity 1)  2 Si 3.08, 6 Y 3.21-3.23
Si1 0.5000 0.0000 0.5315 (multiplicity 1)  8 Y 3.08-3.30

[2]
First-principles (GGA-PBE) data for a relaxed Y7Si crystal, as listed in the Alexandria database.

* total DFT energy (no corrections): -50.85 eV/f.u.
* density of states at the Fermi level: 0.6573 states/eV per atom

Unit cell a=9.7760 b=9.7760 c=9.7760 alpha=90.00 beta=90.00 gamma=90.00
Closest atoms and distances in Å follow each position.
Space group Fm-3m (No. 225)
Inequivalent atoms, fractional coordinates:
Y1 0.0000 0.0000 0.0000 (multiplicity 4)  12 Y 3.46
Y2 0.0000 0.2500 0.2500 (multiplicity 24)  10 Y 3.46, 2 Si 3.46
Si1 0.0000 0.0000 0.5000 (multiplicity 4)  12 Y 3.46

[3]
First-principles (GGA-PBE) data for a relaxed Y2Si crystal, as listed in the Alexandria database.

* total DFT energy (no corrections): -19.84 eV/f.u.
* density of states at the Fermi level: 0.8040 states/eV per atom

Unit cell a=4.3093 b=6.2802 c=11.4853 alpha=90.00 beta=90.00 gamma=90.00
Closest atoms and distances in Å follow each position.
Space group Immm (No. 71)
Inequivalent atoms, fractional coordinates:
Y1 0.0000 0.0000 0.2035 (multiplicity 4)  2 Si 2.87
Y2 0.0000 0.2371 0.5000 (multiplicity 4)  2 Y 2.98-3.30, 4 Si 3.02
Si1 0.0000 0.5000 0.1316 (multiplicity 4)  6 Y 2.87-3.02, 1 Si 3.02

[4]
First-principles (GGA-PBE) data for a relaxed Y3Si crystal, as listed in the Alexandria database.

* energy above the lowest structure with this stoichiometry: 0.184 eV/atom
* total DFT energy (no corrections): -25.83 eV/f.u.
* density of states at the Fermi level: 1.0724 states/eV per atom

Unit cell a=3.4471 b=3.7670 c=8.4620 alpha=90.00 beta=90.00 gamma=90.00
Closest atoms and distances in Å follow each position.
Space group Pmmm (No. 47)
Inequivalent atoms, fractional coordinates:
Y1 0.0000 0.0000 0.0000 (multiplicity 1)  12 Y 3.45-3.77
Y2 0.5000 0.5000 0.3068 (multiplicity 2)  4 Si 3.03, 1 Y 3.27
Si1 0.0000 0.0000 0.5000 (multiplicity 1)  8 Y 3.03

[5]
First-principles (GGA-PBE) data for a relaxed Y5Si crystal, as listed in the Alexandria database.

* total DFT energy (no corrections): -38.85 eV/f.u.
* density of states at the Fermi level: 1.2747 states/eV per atom

Unit cell a=12.0261 b=3.8077 c=8.3064 alpha=90.00 beta=113.00 gamma=90.00
Closest atoms and distances in Å follow each position.
Space group C2/m (No. 12)
Inequivalent atoms, fractional coordinates:
Y1 0.0000 0.0000 0.0000 (multiplicity 2)  12 Y 3.43-3.81
Y2 0.1351 0.5000 0.3692 (multiplicity 4)  2 Si 2.97, 1 Y 3.31
Y3 0.1640 0.5000 0.7883 (multiplicity 4)  2 Si 3.09, 2 Y 3.31-3.36
Si1 0.0000 0.0000 0.5000 (multiplicity 2)  8 Y 2.97-3.09

[6]
First-principles (GGA-PBE) data for a relaxed Y2Si crystal, as listed in the Alexandria database.

* total DFT energy (no corrections): -19.29 eV/f.u.
* density of states at the Fermi level: 0.5583 states/eV per atom

Unit cell a=4.7128 b=4.7128 c=4.0139 alpha=90.00 beta=90.00 gamma=120.00
Closest atoms and distances in Å follow each position.
Space group P-3m1 (No. 164)
Inequivalent atoms, fractional coordinates:
Y1 0.3333 0.6667 0.2619 (multiplicity 2)  3 Si 2.92
Si1 0.0000 0.0000 0.0000 (multiplicity 1)  6 Y 2.92

[7]
First-principles (GGA-PBE) data for a relaxed YSi4 crystal, as listed in the Alexandria database.

* energy above the lowest structure with this stoichiometry: 0.000 eV/atom
* total DFT energy (no corrections): -28.50 eV/f.u.
* density of states at the Fermi level: 0.4621 states/eV per atom

Unit cell a=6.9975 b=6.9975 c=3.5000 alpha=90.00 beta=90.00 gamma=90.00
Closest atoms and distances in Å follow each position.
Space group I4/m (No. 87)
Inequivalent atoms, fractional coordinates:
Y1 0.0000 0.0000 0.0000 (multiplicity 2)  12 Si 2.91-3.03
Si1 0.1184 0.3331 0.5000 (multiplicity 8)  7 Si 2.68-2.86, 1 Y 2.91

[8]
First-principles (GGA-PBE) data for a relaxed YSi23 crystal, as listed in the Alexandria database.

* total DFT energy (no corrections): -129.81 eV/f.u.
* density of states at the Fermi level: 0.2930 states/eV per atom

Unit cell a=10.2144 b=10.2144 c=10.2144 alpha=90.00 beta=90.00 gamma=90.00
Closest atoms and distances in Å follow each position.
Space group Pm-3n (No. 223)
Inequivalent atoms, fractional coordinates:
Y1 0.0000 0.0000 0.0000 (multiplicity 2)  20 Si 3.24-3.36
Si1 0.0000 0.1160 0.3080 (multiplicity 24)  4 Si 2.36-2.39
Si2 0.0000 0.2500 0.5000 (multiplicity 6)  4 Si 2.39
Si3 0.1829 0.1829 0.1829 (multiplicity 16)  4 Si 2.36-2.37

[9]
First-principles (GGA-PBE) data for a relaxed Y7Si6 crystal, as listed in the Alexandria database.

* total DFT energy (no corrections): -76.61 eV/f.u.
* density of states at the Fermi level: 0.7156 states/eV per atom

Unit cell a=6.6308 b=6.6308 c=28.8184 alpha=90.00 beta=90.00 gamma=120.00
Closest atoms and distances in Å follow each position.
Space group R-3m (No. 166, hexagonal axes)
Inequivalent atoms, fractional coordinates:
Y1 0.0000 0.0000 0.0000 (multiplicity 3)  6 Y 3.37
Y2 0.0050 0.5025 0.4291 (multiplicity 18)  2 Si 2.79-2.81
Si1 0.0000 0.0000 0.1663 (multiplicity 6)  6 Y 2.79-2.81
Si2 0.0000 0.0000 0.3249 (multiplicity 6)  1 Si 2.35
Si3 0.0000 0.0000 0.4065 (multiplicity 6)  1 Si 2.35

[10]
First-principles (GGA-PBE) data for a relaxed Y3Si crystal, as listed in the Alexandria database.

* energy above the lowest structure with this stoichiometry: 0.000 eV/atom
* total DFT energy (no corrections): -26.56 eV/f.u.
* density of states at the Fermi level: 0.9781 states/eV per atom

Unit cell a=7.6926 b=9.1838 c=6.3004 alpha=90.00 beta=90.00 gamma=90.00
Closest atoms and distances in Å follow each position.
Space group Pnma (No. 62)
Inequivalent atoms, fractional coordinates:
Y1 0.0323 0.2500 0.1293 (multiplicity 4)  2 Si 2.92-2.98
Y2 0.1772 0.0570 0.6515 (multiplicity 8)  3 Si 2.96-3.16
Si1 0.1220 0.7500 0.4368 (multiplicity 4)  8 Y 2.92-3.16

[11]
First-principles (GGA-PBE) data for a relaxed Y2Si crystal, as listed in the Alexandria database.

* total DFT energy (no corrections): -19.86 eV/f.u.
* density of states at the Fermi level: 0.9095 states/eV per atom

Unit cell a=6.8649 b=6.8649 c=6.8649 alpha=90.00 beta=90.00 gamma=90.00
Closest atoms and distances in Å follow each position.
Space group Fm-3m (No. 225)
Inequivalent atoms, fractional coordinates:
Y1 0.2500 0.2500 0.2500 (multiplicity 8)  4 Si 2.97
Si1 0.0000 0.0000 0.0000 (multiplicity 4)  8 Y 2.97

[12]
First-principles (GGA-PBE) data for a relaxed Y3Si crystal, as listed in the Alexandria database.

* energy above the lowest structure with this stoichiometry: 0.400 eV/atom
* total DFT energy (no corrections): -24.96 eV/f.u.
* density of states at the Fermi level: 0.9911 states/eV per atom

Unit cell a=10.4437 b=10.4437 c=3.3658 alpha=90.00 beta=90.00 gamma=120.00
Closest atoms and distances in Å follow each position.
Space group R-3m (No. 166, hexagonal axes)
Inequivalent atoms, fractional coordinates:
Y1 0.0000 0.5000 0.0000 (multiplicity 9)  6 Y 3.22-3.37, 2 Si 3.22
Si1 0.0000 0.0000 0.0000 (multiplicity 3)  6 Y 3.22, 2 Si 3.37

Raw formation energy (eV per atom)
-0.113; -0.022; -0.495; -0.253; -0.184; -0.311; -0.068; 0.058; 0.091; -0.437; -0.503; -0.037